A geometry-optimized Ba2NbP2N6 structure, computed with PBE.

Unit cell a=5.7414 b=5.7414 c=6.4134 alpha=63.41 beta=63.41 gamma=60.00
Closest atoms and distances in Å follow each position.
Element x y z (fractional)
Ba  0.7725  0.7725  0.6825  9 N 2.92-3.07
Ba  0.2275  0.2275  0.3175  9 N 2.92-3.07
Nb  0.0000  0.0000  0.0000  6 N 2.12
P  0.4284  0.4284  0.7148  3 N 1.62
P  0.5716  0.5716  0.2852  3 N 1.62
N  0.7521  0.7521  0.2212  1 P 1.62
N  0.2747  0.7521  0.2212  1 P 1.62
N  0.7521  0.2747  0.2212  1 P 1.62
N  0.2479  0.7253  0.7788  1 P 1.62
N  0.7253  0.2479  0.7788  1 P 1.62
N  0.2479  0.2479  0.7788  1 P 1.62

Summary:
* raw total energy: -83.1 eV per cell
* SG: R-3m
* E_form (uncorrected): -765 meV/atom

A geometry-optimized Nd2GaSe structure, computed with PBE.

Unit cell a=3.5770 b=3.5770 c=7.8940 alpha=90.00 beta=90.00 gamma=90.00
Closest atoms and distances in Å follow each position.
Element x y z (fractional)
Nd  0.0000  0.0000  0.7435  4 Se 3.18, 4 Ga 3.24
Nd  0.0000  0.0000  0.2565  4 Se 3.18, 4 Ga 3.24
Ga  0.5000  0.5000  0.0000  8 Nd 3.24, 4 Ga 3.58
Se  0.5000  0.5000  0.5000  8 Nd 3.18

Summary:
* ΔE to the lowest computed polymorph: 232 meV/atom
* raw total energy: -20.1 eV per cell
* SG: P4/mmm
* E_form (uncorrected): -1016 meV/atom

A geometry-optimized SrNi3As structure, computed with PBE.

Unit cell a=4.7262 b=4.7262 c=4.7262 alpha=90.00 beta=90.00 gamma=90.00
Closest atoms and distances in Å follow each position.
Element x y z (fractional)
Sr  0.0000  0.0000  0.0000  6 Ni 2.36
As  0.5000  0.5000  0.5000  12 Ni 3.34
Ni  0.0000  0.5000  0.0000  2 Sr 2.36
Ni  0.0000  0.0000  0.5000  2 Sr 2.36
Ni  0.5000  0.0000  0.0000  2 Sr 2.36

Summary:
* ΔE to the lowest computed polymorph: 1813 meV/atom
* raw total energy: -15.1 eV per cell
* SG: Pm-3m
* energy relative to the elements: 1.723 eV/atom

A geometry-optimized TbHoEr2Tm6 structure, computed with PBE.

Unit cell a=9.3948 b=8.6395 c=8.6395 alpha=117.82 beta=93.81 gamma=93.81
Closest atoms and distances in Å follow each position.
Element x y z (fractional)
Tb  0.2500  0.9759  0.0241  4 Er 3.33-3.35, 4 Tm 3.51-3.62
Tb  0.7500  0.0241  0.9759  4 Er 3.33-3.35, 4 Tm 3.51-3.62
Ho  0.2500  0.4089  0.5911  8 Tm 3.36-3.76, 2 Er 3.49
Ho  0.7500  0.5911  0.4089  8 Tm 3.36-3.76, 2 Er 3.49
Er  0.4550  0.8039  0.6971  6 Tm 3.21-3.53, 2 Tb 3.33-3.35, 1 Ho 3.49
Er  0.0450  0.3029  0.1961  6 Tm 3.21-3.53, 2 Tb 3.33-3.35, 1 Ho 3.49
Er  0.5450  0.1961  0.3029  6 Tm 3.21-3.53, 2 Tb 3.33-3.35, 1 Ho 3.49
Er  0.9550  0.6971  0.8039  6 Tm 3.21-3.53, 2 Tb 3.33-3.35, 1 Ho 3.49
Tm  0.0569  0.1250  0.7507  7 Tm 3.34-3.65, 1 Er 3.43, 1 Tb 3.62
Tm  0.4431  0.2493  0.8750  7 Tm 3.34-3.65, 1 Er 3.43, 1 Tb 3.62
Tm  0.9431  0.8750  0.2493  7 Tm 3.34-3.65, 1 Er 3.43, 1 Tb 3.62
Tm  0.5569  0.7507  0.1250  7 Tm 3.34-3.65, 1 Er 3.43, 1 Tb 3.62
Tm  0.3163  0.9793  0.4299  4 Tm 3.16-3.53, 2 Er 3.32-3.53, 1 Ho 3.42, 1 Tb 3.51
Tm  0.1837  0.5701  0.0207  4 Tm 3.16-3.53, 2 Er 3.32-3.53, 1 Ho 3.42, 1 Tb 3.51
Tm  0.6837  0.0207  0.5701  4 Tm 3.16-3.53, 2 Er 3.32-3.53, 1 Ho 3.42, 1 Tb 3.51
Tm  0.8163  0.4299  0.9793  4 Tm 3.16-3.53, 2 Er 3.32-3.53, 1 Ho 3.42, 1 Tb 3.51
Tm  0.1188  0.7096  0.4950  4 Tm 3.16-3.46, 3 Er 3.21-3.36, 2 Ho 3.36-3.48
Tm  0.3812  0.5050  0.2904  4 Tm 3.16-3.46, 3 Er 3.21-3.36, 2 Ho 3.36-3.48
Tm  0.8812  0.2904  0.5050  4 Tm 3.16-3.46, 3 Er 3.21-3.36, 2 Ho 3.36-3.48
Tm  0.6188  0.4950  0.7096  4 Tm 3.16-3.46, 3 Er 3.21-3.36, 2 Ho 3.36-3.48

Summary:
* raw total energy: -87.8 eV per cell
* SG: C2/c
* energy relative to the elements: 0.124 eV/atom

A geometry-optimized NbFe2TcB structure, computed with PBE.

Unit cell a=3.8613 b=3.8613 c=4.0891 alpha=90.00 beta=90.00 gamma=90.00
Closest atoms and distances in Å follow each position.
Element x y z (fractional)
Nb  0.5000  0.5000  0.5000  4 Tc 2.73, 8 Fe 2.81
B  0.0000  0.0000  0.0000  4 Fe 1.93, 2 Tc 2.04
Tc  0.0000  0.0000  0.5000  2 B 2.04
Fe  0.0000  0.5000  0.0000  2 B 1.93
Fe  0.5000  0.0000  0.0000  2 B 1.93

Summary:
* raw total energy: -44.6 eV per cell
* SG: P4/mmm
* energy relative to the elements: -0.118 eV/atom

A geometry-optimized LaAlSb2 structure, computed with PBE.

Unit cell a=5.7834 b=5.7834 c=4.7526 alpha=65.72 beta=65.72 gamma=48.51
Closest atoms and distances in Å follow each position.
Element x y z (fractional)
Sb  0.0000  0.0000  0.9999  4 La 3.34-3.35, 4 Al 3.34, 4 Sb 3.36
Sb  0.5000  0.5000  0.5001  4 La 3.34-3.35, 4 Al 3.34, 4 Sb 3.36
Al  0.7500  0.7500  0.7500  8 Sb 3.34, 4 La 3.36
La  0.2500  0.2500  0.2500  8 Sb 3.34-3.35, 4 Al 3.36

Summary:
* raw total energy: -18.8 eV per cell
* SG: I4/mmm
* E_form (uncorrected): -476 meV/atom

A geometry-optimized Cr3CuC structure, computed with PBE.

Unit cell a=3.8216 b=3.8216 c=3.8216 alpha=90.00 beta=90.00 gamma=90.00
Closest atoms and distances in Å follow each position.
Element x y z (fractional)
Cr  0.0000  0.5000  0.0000  2 C 1.91
Cr  0.0000  0.0000  0.5000  2 C 1.91
Cr  0.5000  0.0000  0.0000  2 C 1.91
C  0.0000  0.0000  0.0000  6 Cr 1.91
Cu  0.5000  0.5000  0.5000  12 Cr 2.70

Summary:
* ΔE to the lowest computed polymorph: 0 meV/atom
* raw total energy: -41.1 eV per cell
* SG: Pm-3m
* energy relative to the elements: 0.227 eV/atom

A geometry-optimized SnHSe2Br structure, computed with PBE.

Unit cell a=4.2048 b=4.2048 c=5.9306 alpha=90.00 beta=90.00 gamma=90.00
Closest atoms and distances in Å follow each position.
Element x y z (fractional)
H  0.0000  0.0000  0.0000  4 Se 2.10
Se  0.0000  0.5000  0.0000  2 H 2.10
Se  0.5000  0.0000  0.0000  2 H 2.10
Sn  0.5000  0.5000  0.5000  4 Br 2.97
Br  0.0000  0.0000  0.5000  2 H 2.97, 4 Sn 2.97

Summary:
* ΔE to the lowest computed polymorph: 0 meV/atom
* raw total energy: -15.2 eV per cell
* SG: P4/mmm

A geometry-optimized Li3InHg3 structure, computed with PBE.

Unit cell a=7.2347 b=7.2347 c=7.2347 alpha=90.00 beta=90.00 gamma=90.00
Closest atoms and distances in Å follow each position.
Element x y z (fractional)
Li  0.0000  0.2500  0.5000  4 Hg 2.56
Li  0.0000  0.7500  0.5000  4 Hg 2.56
Li  0.5000  0.0000  0.7500  4 Hg 2.56
Li  0.7500  0.5000  0.0000  4 Hg 2.56
Li  0.5000  0.0000  0.2500  4 Hg 2.56
Li  0.2500  0.5000  0.0000  4 Hg 2.56
Hg  0.2500  0.0000  0.5000  4 Li 2.56
Hg  0.0000  0.5000  0.2500  4 Li 2.56
Hg  0.5000  0.7500  0.0000  4 Li 2.56
Hg  0.7500  0.0000  0.5000  4 Li 2.56
Hg  0.0000  0.5000  0.7500  4 Li 2.56
Hg  0.5000  0.2500  0.0000  4 Li 2.56
In  0.5000  0.5000  0.5000  12 Hg 4.04, 12 Li 4.04
In  0.0000  0.0000  0.0000  12 Hg 4.04, 12 Li 4.04

Summary:
* ΔE to the lowest computed polymorph: 334 meV/atom
* raw total energy: -18.0 eV per cell
* SG: Pm-3n
* energy relative to the elements: 0.053 eV/atom